No. 1
A plane-wave DFT calculation with GGA-PBE was carried out for an optimized crystal structure of U2Co12B7.

The value obtained for the raw total energy is -7.7056 eV per atom. Its space group is P-6, No. 174. For the density of states at the Fermi level, the calculation gives 11.70 states/eV per cell. For the formation energy, the calculation gives -344 meV/atom.

Cell lengths 8.4702, 8.4702, 3.3354 Å; angles 90.00, 90.00, 120.00 degrees
Element x y z (fractional)
U 0.0000 0.0000 0.0000
U 0.3333 0.6667 0.5000
Co 0.0480 0.2729 0.5000
Co 0.1073 0.7038 0.0000
Co 0.2250 0.9520 0.5000
Co 0.2962 0.4035 0.0000
Co 0.3941 0.1847 0.0000
Co 0.5446 0.4378 0.5000
Co 0.5622 0.1068 0.5000
Co 0.5965 0.8927 0.0000
Co 0.7271 0.7750 0.5000
Co 0.7906 0.6059 0.0000
Co 0.8153 0.2094 0.0000
Co 0.8932 0.4554 0.5000
B 0.0593 0.4339 0.0000
B 0.2784 0.2339 0.5000
B 0.3746 0.9407 0.0000
B 0.5661 0.6254 0.0000
B 0.6667 0.3333 0.0000
B 0.7661 0.0444 0.5000
B 0.9556 0.7216 0.5000

=====

No. 2
A plane-wave DFT calculation with GGA-PBE was carried out for an optimized crystal structure of UCo8B4.

The value obtained for the raw total energy is -7.4543 eV per atom. Its space group is I4/mmm, No. 139. For the density of states at the Fermi level, the calculation gives 11.83 states/eV per cell. For the formation energy, the calculation gives -159 meV/atom.

Cell lengths 5.7652, 5.7652, 5.7652 Å; angles 98.46, 98.46, 134.90 degrees
Element x y z (fractional)
U 0.0000 0.0000 0.0000
Co 0.0000 0.3388 0.3388
Co 0.0000 0.6612 0.6612
Co 0.2730 0.5000 0.7730
Co 0.3388 0.0000 0.3388
Co 0.5000 0.2730 0.7730
Co 0.5000 0.7270 0.2270
Co 0.6612 0.0000 0.6612
Co 0.7270 0.5000 0.2270
B 0.0000 0.0000 0.5000
B 0.0000 0.5000 0.0000
B 0.5000 0.0000 0.0000
B 0.5000 0.5000 0.5000

=====

No. 3
A plane-wave DFT calculation with GGA-PBE was carried out for an optimized crystal structure of UCo4B.

The value obtained for the raw total energy is -7.8367 eV per atom. Its space group is C2/c, No. 15. The excess energy over the best structure of this formula in the dataset comes out at 189 meV/atom. For the density of states at the Fermi level, the calculation gives 13.38 states/eV per cell. For the formation energy, the calculation gives -105 meV/atom.

Cell lengths 6.4675, 6.4675, 4.8005 Å; angles 90.27, 90.27, 44.12 degrees
Element x y z (fractional)
U 0.1921 0.8079 0.7500
U 0.8079 0.1921 0.2500
Co 0.0870 0.2893 0.1378
Co 0.2790 0.4971 0.2564
Co 0.2893 0.0870 0.6378
Co 0.4971 0.2790 0.7564
Co 0.5029 0.7210 0.2436
Co 0.7107 0.9130 0.3622
Co 0.7210 0.5029 0.7436
Co 0.9130 0.7107 0.8622
B 0.0000 0.5000 0.5000
B 0.5000 0.0000 0.0000

=====

No. 4
A plane-wave DFT calculation with GGA-PBE was carried out for an optimized crystal structure of VCo10B3.

The value obtained for the raw total energy is -7.3798 eV per atom. Its space group is Fm-3m, No. 225. For the density of states at the Fermi level, the calculation gives 23.32 states/eV per cell. For the formation energy, the calculation gives -222 meV/atom.

Cell lengths 7.3262, 7.3262, 7.3262 Å; angles 60.00, 60.00, 60.00 degrees
Element x y z (fractional)
V 0.2500 0.2500 0.2500
V 0.7500 0.7500 0.7500
Co 0.0000 0.0000 0.3374
Co 0.0000 0.0000 0.6626
Co 0.0000 0.3374 0.0000
Co 0.0000 0.3374 0.6626
Co 0.0000 0.6626 0.0000
Co 0.0000 0.6626 0.3374
Co 0.1410 0.6197 0.6197
Co 0.3374 0.0000 0.0000
Co 0.3374 0.0000 0.6626
Co 0.3374 0.6626 0.0000
Co 0.3803 0.3803 0.3803
Co 0.3803 0.3803 0.8590
Co 0.3803 0.8590 0.3803
Co 0.6197 0.1410 0.6197
Co 0.6197 0.6197 0.1410
Co 0.6197 0.6197 0.6197
Co 0.6626 0.0000 0.0000
Co 0.6626 0.0000 0.3374
Co 0.6626 0.3374 0.0000
Co 0.8590 0.3803 0.3803
B 0.2744 0.2744 0.7256
B 0.2744 0.7256 0.2744
B 0.2744 0.7256 0.7256
B 0.7256 0.2744 0.2744
B 0.7256 0.2744 0.7256
B 0.7256 0.7256 0.2744